No. 1
# Ac2ScPbO6 (PBE-GGA, relaxed)
data_Ac2ScPbO6
_chemical_formula_sum 'Ac4 Sc2 Pb2 O12'
_cell_length_a 5.961
_cell_length_b 6.201
_cell_length_c 8.573
_cell_angle_alpha 90.00
_cell_angle_beta 89.90
_cell_angle_gamma 90.00
_symmetry_space_group_name_H-M 'P 1'
_symmetry_Int_Tables_number 1
loop_
_symmetry_equiv_pos_as_xyz
'x,y,z'
loop_
_atom_site_label
_atom_site_fract_x
_atom_site_fract_y
_atom_site_fract_z
_atom_site_occupancy
Sc1 0.500 0.000 0.000 1
Sc2 0.000 0.500 0.500 1
O1 0.385 0.950 0.766 1
O2 0.115 0.450 0.734 1
O3 0.885 0.550 0.266 1
O4 0.712 0.315 0.556 1
O5 0.816 0.785 0.566 1
O6 0.788 0.815 0.944 1
O7 0.184 0.215 0.434 1
O8 0.212 0.185 0.056 1
O9 0.684 0.285 0.934 1
O10 0.288 0.685 0.444 1
O11 0.615 0.050 0.234 1
O12 0.316 0.715 0.066 1
Pb1 0.000 0.500 0.000 1
Pb2 0.500 0.000 0.500 1
Ac1 0.485 0.445 0.252 1
Ac2 0.985 0.055 0.752 1
Ac3 0.515 0.555 0.748 1
Ac4 0.015 0.945 0.248 1
# - size of the total moment (μB per formula unit) = 0.00
# - total DFT energy (no corrections) (eV for the cell shown) = -151.2
# - Fermi-level density of states (states/eV/cell) = 9.044

=====

No. 2
# Ac4Pb2SeO2 (PBE-GGA, relaxed)
data_Ac4Pb2SeO2
_chemical_formula_sum 'Ac4 Pb2 Se1 O2'
_cell_length_a 4.252
_cell_length_b 8.539
_cell_length_c 8.409
_cell_angle_alpha 110.12
_cell_angle_beta 104.65
_cell_angle_gamma 90.00
_symmetry_space_group_name_H-M 'P 1'
_symmetry_Int_Tables_number 1
loop_
_symmetry_equiv_pos_as_xyz
'x,y,z'
loop_
_atom_site_label
_atom_site_fract_x
_atom_site_fract_y
_atom_site_fract_z
_atom_site_occupancy
O1 0.322 0.015 0.644 1
O2 0.678 0.985 0.356 1
Pb1 0.131 0.527 0.261 1
Pb2 0.869 0.473 0.739 1
Ac1 0.530 0.760 0.060 1
Ac2 0.212 0.156 0.424 1
Ac3 0.470 0.240 0.940 1
Ac4 0.788 0.844 0.576 1
Se1 0.000 0.000 0.000 1
# - size of the total moment (μB per formula unit) = 0.00
# - total DFT energy (no corrections) (eV for the cell shown) = -54.0
# - Fermi-level density of states (states/eV/cell) = 4.226

=====

Which value of total DFT energy (no corrections) does entry 1 give? -151.2 eV for the cell shown